18
Lattice="1.601 -6.845 0.000 1.601 6.845 0.000 0.000 0.000 9.806" Properties=species:S:1:pos:R:3 comment="Tb2MnMoN5 (PBE, relaxed)" energy_ev_per_atom=-8.732 crystal_system=orthorhombic pbc="T T T"
Tb 1.601 5.198 4.903
Tb 1.601 5.065 1.270
Tb 1.601 -5.065 6.173
Tb 1.601 -5.198 0.000
Mn 1.601 0.716 2.532
Mn 1.601 -0.716 7.435
Mo 1.601 4.060 8.130
Mo 1.601 -4.060 3.227
N 1.601 6.417 8.209
N 1.601 2.725 4.616
N 1.601 2.486 1.771
N 1.601 2.175 8.003
N 1.601 0.020 0.923
N 1.601 -0.020 5.827
N 1.601 -2.175 3.100
N 1.601 -2.486 6.674
N 1.601 -2.725 9.520
N 1.601 -6.417 3.306

5
Lattice="3.547 0.000 0.000 0.000 3.547 0.000 0.000 0.000 5.306" Properties=species:S:1:pos:R:3 comment="MnTcMoN2 (PBE, relaxed)" energy_ev_per_atom=-8.188 crystal_system=tetragonal pbc="T T T"
Mn 0.000 0.000 0.000
Tc 0.000 0.000 2.653
Mo 1.774 1.774 2.653
N 0.000 1.774 0.000
N 1.774 0.000 0.000

5
Lattice="3.781 0.000 0.000 0.000 3.781 0.000 0.000 0.000 5.372" Properties=species:S:1:pos:R:3 comment="MnTeMoN2 (PBE, relaxed)" polymorph_energy_ev_per_fu=2.97 energy_ev_per_atom=-6.855 crystal_system=tetragonal pbc="T T T"
Mn 0.000 0.000 0.000
Te 0.000 0.000 2.686
Mo 1.891 1.891 2.686
N 0.000 1.891 0.000
N 1.891 0.000 0.000

5
Lattice="3.932 0.000 0.000 0.000 3.932 0.000 0.000 0.000 5.732" Properties=species:S:1:pos:R:3 comment="MnTeMoN2 (PBE, relaxed)" polymorph_energy_ev_per_fu=0.00 energy_ev_per_atom=-7.449 crystal_system=tetragonal pbc="T T T"
Mn 0.000 0.000 0.000
Te 1.966 1.966 0.000
Mo 1.966 1.966 2.866
N 0.000 1.966 2.866
N 1.966 0.000 2.866

5
Lattice="5.461 0.000 0.000 0.000 5.461 0.000 0.000 0.000 3.798" Properties=species:S:1:pos:R:3 comment="MnTe2MoN (PBE, relaxed)" polymorph_energy_ev_per_fu=0.00 energy_ev_per_atom=-6.510 crystal_system=tetragonal pbc="T T T"
Mn 0.000 0.000 0.000
Te 0.000 2.730 1.899
Te 2.730 0.000 1.899
Mo 2.730 2.730 1.899
N 2.730 2.730 0.000

5
Lattice="5.289 0.000 0.000 0.000 5.289 0.000 0.000 0.000 3.453" Properties=species:S:1:pos:R:3 comment="MnTe2MoN (PBE, relaxed)" polymorph_energy_ev_per_fu=0.66 energy_ev_per_atom=-6.378 crystal_system=tetragonal pbc="T T T"
Mn 0.000 0.000 0.000
Te 0.000 2.645 0.000
Te 2.645 0.000 0.000
Mo 2.645 2.645 1.726
N 0.000 0.000 1.726

10
Lattice="5.493 0.000 0.000 0.000 5.493 0.000 0.000 0.000 4.107" Properties=species:S:1:pos:R:3 comment="Th2MnMoN6 (PBE, relaxed)" energy_ev_per_atom=-9.325 crystal_system=tetragonal pbc="T T T"
Th 0.000 2.746 0.000
Th 2.746 0.000 0.000
Mn 0.000 0.000 2.326
Mo 2.746 2.746 2.214
N 0.000 0.000 0.454
N 1.361 1.361 2.542
N 1.361 4.132 2.542
N 2.746 2.746 0.360
N 4.132 1.361 2.542
N 4.132 4.132 2.542

5
Lattice="4.084 0.000 0.000 0.000 4.084 0.000 0.000 0.000 3.849" Properties=species:S:1:pos:R:3 comment="MnVMo2N (PBE, relaxed)" energy_ev_per_atom=-9.746 crystal_system=tetragonal pbc="T T T"
Mn 0.000 0.000 0.000
V 2.042 2.042 0.000
Mo 0.000 2.042 1.924
Mo 2.042 0.000 1.924
N 2.042 2.042 1.924